! Na2TlCuSn, optimized geometry, DFT PBE; values from VASP
&SYSTEM
  ibrav = 0, nat = 5, ntyp = 4
/
ATOMIC_SPECIES
Na 22.99 Na.upf
Tl 204.38 Tl.upf
Cu 63.55 Cu.upf
Sn 118.71 Sn.upf
ATOMIC_POSITIONS crystal
Na 0.0000 0.5000 0.0000
Na 0.5000 0.0000 0.0000
Tl 0.0000 0.0000 0.5000
Cu 0.5000 0.5000 0.0000
Sn 0.5000 0.5000 0.5000
CELL_PARAMETERS angstrom
5.4785 0.0000 0.0000
0.0000 5.4785 0.0000
0.0000 0.0000 4.8382
! ΔE_f: 0.24 eV per formula unit
! Density of states at the Fermi level: 0.379 states/eV/atom
! Size of the total moment: 0.0 μB per formula unit
! Relative energy among the computed polymorphs: 0 meV/atom
! Calculated density: 4.9 g cm⁻³

***

! TaZnCu, optimized geometry, DFT PBE; values from VASP
&SYSTEM
  ibrav = 0, nat = 12, ntyp = 3
/
ATOMIC_SPECIES
Ta 180.95 Ta.upf
Zn 65.41 Zn.upf
Cu 63.55 Cu.upf
ATOMIC_POSITIONS crystal
Ta 0.2487 0.0000 0.3992
Ta 0.2513 0.5000 0.6008
Ta 0.7487 0.5000 0.3992
Ta 0.7513 0.0000 0.6008
Zn 0.2482 0.0000 0.0824
Zn 0.2518 0.5000 0.9176
Zn 0.7482 0.5000 0.0824
Zn 0.7518 0.0000 0.9176
Cu 0.2478 0.5000 0.2273
Cu 0.2522 0.0000 0.7727
Cu 0.7478 0.0000 0.2273
Cu 0.7522 0.5000 0.7727
CELL_PARAMETERS angstrom
3.9619 0.0000 0.0000
0.0000 4.0012 0.0000
-0.0149 0.0000 11.3575
! ΔE_f: -0.04 eV per formula unit
! Density of states at the Fermi level: 0.516 states/eV/atom
! Size of the total moment: 0.0 μB per formula unit
! Calculated density: 11.4 g cm⁻³

***

! TbPr2Nd2Ho2, optimized geometry, DFT PBE; values from VASP
&SYSTEM
  ibrav = 0, nat = 14, ntyp = 4
/
ATOMIC_SPECIES
Tb 158.93 Tb.upf
Pr 140.91 Pr.upf
Nd 144.24 Nd.upf
Ho 164.93 Ho.upf
ATOMIC_POSITIONS crystal
Tb 0.0000 0.0000 0.0000
Tb 0.5000 0.5000 0.0000
Pr 0.2137 0.5000 0.1421
Pr 0.2863 0.0000 0.8579
Pr 0.7137 0.0000 0.1421
Pr 0.7863 0.5000 0.8579
Nd 0.1418 0.0000 0.4273
Nd 0.3582 0.5000 0.5727
Nd 0.6418 0.5000 0.4273
Nd 0.8582 0.0000 0.5727
Ho 0.0712 0.5000 0.7128
Ho 0.4288 0.0000 0.2872
Ho 0.5712 0.0000 0.7128
Ho 0.9288 0.5000 0.2872
CELL_PARAMETERS angstrom
11.4292 0.0000 0.0000
0.0000 5.1341 0.0000
-1.1507 0.0000 8.0632
! ΔE_f: 0.11 eV per formula unit
! Density of states at the Fermi level: 1.392 states/eV/atom
! Size of the total moment: 0.0 μB per formula unit
! Calculated density: 7.4 g cm⁻³

***

! Re3Mo, optimized geometry, DFT PBE; values from VASP
&SYSTEM
  ibrav = 0, nat = 16, ntyp = 2
/
ATOMIC_SPECIES
Re 186.21 Re.upf
Mo 95.94 Mo.upf
ATOMIC_POSITIONS crystal
Re 0.0830 0.2500 0.1243
Re 0.2415 0.5069 0.8757
Re 0.2415 0.9931 0.8757
Re 0.2585 0.0069 0.3757
Re 0.2585 0.4931 0.3757
Re 0.4170 0.7500 0.6243
Re 0.5830 0.2500 0.3757
Re 0.7415 0.5069 0.6243
Re 0.7415 0.9931 0.6243
Re 0.7585 0.0069 0.1243
Re 0.7585 0.4931 0.1243
Re 0.9170 0.7500 0.8757
Mo 0.0764 0.2500 0.6249
Mo 0.4236 0.7500 0.1249
Mo 0.5764 0.2500 0.8751
Mo 0.9236 0.7500 0.3751
CELL_PARAMETERS angstrom
4.8383 0.0000 0.0000
0.0000 9.0581 0.0000
0.0000 0.0000 5.5545
! ΔE_f: 0.35 eV per formula unit
! Density of states at the Fermi level: 0.856 states/eV/atom
! Size of the total moment: 0.0 μB per formula unit
! Relative energy among the computed polymorphs: 0 meV/atom
! Calculated density: 17.9 g cm⁻³

***

! As2P, optimized geometry, DFT PBE; values from VASP
&SYSTEM
  ibrav = 0, nat = 12, ntyp = 2
/
ATOMIC_SPECIES
As 74.92 As.upf
P 30.97 P.upf
ATOMIC_POSITIONS crystal
As 0.0052 0.0000 0.2339
As 0.1700 0.5000 0.7223
As 0.3300 0.0000 0.2777
As 0.4948 0.5000 0.7661
As 0.5052 0.5000 0.2339
As 0.6700 0.0000 0.7223
As 0.8300 0.5000 0.2777
As 0.9948 0.0000 0.7661
P 0.1659 0.5000 0.2757
P 0.3341 0.0000 0.7243
P 0.6659 0.0000 0.2757
P 0.8341 0.5000 0.7243
CELL_PARAMETERS angstrom
11.3889 0.0000 0.0000
0.0000 3.7249 0.0000
-0.0782 0.0000 5.4474
! ΔE_f: 0.47 eV per formula unit
! Density of states at the Fermi level: 0.368 states/eV/atom
! Size of the total moment: 0.0 μB per formula unit
! Relative energy among the computed polymorphs: 97 meV/atom
! Calculated density: 5.2 g cm⁻³

***

! BiHIrOs2, optimized geometry, DFT PBE; values from VASP
&SYSTEM
  ibrav = 0, nat = 5, ntyp = 4
/
ATOMIC_SPECIES
Bi 208.98 Bi.upf
H 1.01 H.upf
Ir 192.22 Ir.upf
Os 190.23 Os.upf
ATOMIC_POSITIONS crystal
Bi 0.0000 0.0000 0.0000
H 0.5000 0.5000 0.5000
Ir 0.5000 0.5000 0.0000
Os 0.0000 0.5000 0.5000
Os 0.5000 0.0000 0.5000
CELL_PARAMETERS angstrom
4.1046 0.0000 0.0000
0.0000 4.1046 0.0000
0.0000 0.0000 4.0935
! Total energy: -34.92 eV/cell
! Density of states at the Fermi level: 0.954 states/eV/atom
! Size of the total moment: 0.0 μB per formula unit
! Calculated density: 18.8 g cm⁻³

***

! HfV2GeAs, optimized geometry, DFT PBE; values from VASP
&SYSTEM
  ibrav = 0, nat = 5, ntyp = 4
/
ATOMIC_SPECIES
Hf 178.49 Hf.upf
V 50.94 V.upf
Ge 72.64 Ge.upf
As 74.92 As.upf
ATOMIC_POSITIONS crystal
Hf 0.0000 0.0000 0.0000
V 0.0000 0.5000 0.5000
V 0.5000 0.0000 0.5000
Ge 0.5000 0.5000 0.0000
As 0.0000 0.0000 0.5000
CELL_PARAMETERS angstrom
4.4539 0.0000 0.0000
0.0000 4.4539 0.0000
0.0000 0.0000 5.0000
! ΔE_f: 2.64 eV per formula unit
! Density of states at the Fermi level: 1.072 states/eV/atom
! Size of the total moment: 0.0 μB per formula unit
! Calculated density: 7.2 g cm⁻³

***

! Sc3AlPt12, optimized geometry, DFT PBE; values from VASP
&SYSTEM
  ibrav = 0, nat = 16, ntyp = 3
/
ATOMIC_SPECIES
Sc 44.96 Sc.upf
Al 26.98 Al.upf
Pt 195.08 Pt.upf
ATOMIC_POSITIONS crystal
Sc 0.0000 0.0000 0.0000
Sc 0.0000 0.0000 0.2526
Sc 0.0000 0.0000 0.7474
Al 0.0000 0.0000 0.5000
Pt 0.0000 0.5000 0.1264
Pt 0.0000 0.5000 0.3798
Pt 0.0000 0.5000 0.6202
Pt 0.0000 0.5000 0.8736
Pt 0.5000 0.0000 0.1264
Pt 0.5000 0.0000 0.3798
Pt 0.5000 0.0000 0.6202
Pt 0.5000 0.0000 0.8736
Pt 0.5000 0.5000 0.0000
Pt 0.5000 0.5000 0.2534
Pt 0.5000 0.5000 0.5000
Pt 0.5000 0.5000 0.7466
CELL_PARAMETERS angstrom
3.9936 0.0000 0.0000
0.0000 3.9936 0.0000
0.0000 0.0000 15.8715
! ΔE_f: -15.53 eV per formula unit
! Density of states at the Fermi level: 0.868 states/eV/atom
! Size of the total moment: 0.0 μB per formula unit
! Calculated density: 16.4 g cm⁻³